1.
Below is CaPr5Y3 after structural relaxation, with properties calculated at the PBE level.

```
CaPr5Y3
1.0
8.128 -3.481 0.000
8.128 3.481 0.000
-3.591 0.000 11.416
Ca Pr Y
2 10 6
direct
0.223 0.777 0.750 Ca
0.777 0.223 0.250 Ca
0.058 0.297 0.870 Pr
0.297 0.058 0.370 Pr
0.315 0.685 0.250 Pr
0.388 0.395 0.457 Pr
0.395 0.388 0.957 Pr
0.605 0.612 0.043 Pr
0.612 0.605 0.543 Pr
0.685 0.315 0.750 Pr
0.703 0.942 0.630 Pr
0.942 0.703 0.130 Pr
0.000 0.000 0.000 Y
0.000 0.000 0.500 Y
0.144 0.368 0.635 Y
0.368 0.144 0.135 Y
0.632 0.856 0.865 Y
0.856 0.632 0.365 Y
```

2.
CaPrY | Alexandria via LeMat-Bulk | PBE | optimized geometry; polymorph energy (0 for the lowest one) = 0 meV/atom
1.0
3.692 0.000 0.000
0.000 3.692 0.000
0.000 0.000 16.058
Ca Pr Y
2 2 2
direct
0.250 0.250 0.092 Ca
0.750 0.750 0.908 Ca
0.250 0.250 0.733 Pr
0.750 0.750 0.267 Pr
0.250 0.250 0.421 Y
0.750 0.750 0.579 Y

3.
Below is CaPrY6 after structural relaxation, with properties calculated at the PBE level.

```
CaPrY6
1.0
11.477 0.000 0.000
0.000 5.130 0.000
-4.591 0.000 9.154
Ca Pr Y
2 2 12
direct
0.000 0.000 0.000 Ca
0.500 0.500 0.000 Ca
0.000 0.000 0.500 Pr
0.500 0.500 0.500 Pr
0.002 0.500 0.744 Y
0.248 0.000 0.871 Y
0.249 0.500 0.621 Y
0.251 0.000 0.379 Y
0.252 0.500 0.129 Y
0.498 0.000 0.256 Y
0.502 0.000 0.744 Y
0.748 0.500 0.871 Y
0.749 0.000 0.621 Y
0.751 0.500 0.379 Y
0.752 0.000 0.129 Y
0.998 0.500 0.256 Y
```

4.
CaPr2Y | Alexandria via LeMat-Bulk | PBE | optimized geometry; polymorph energy (0 for the lowest one) = 12 meV/atom
1.0
3.689 0.000 0.000
-1.844 3.195 0.000
0.000 0.000 36.807
Ca Pr Y
3 6 3
direct
0.000 0.000 0.000 Ca
0.333 0.667 0.667 Ca
0.667 0.333 0.333 Ca
0.000 0.000 0.579 Pr
0.000 0.000 0.755 Pr
0.333 0.667 0.246 Pr
0.333 0.667 0.421 Pr
0.667 0.333 0.088 Pr
0.667 0.333 0.912 Pr
0.000 0.000 0.167 Y
0.333 0.667 0.833 Y
0.667 0.333 0.500 Y

5.
CaPrY2 | Alexandria via LeMat-Bulk | PBE | optimized geometry; polymorph energy (0 for the lowest one) = 53 meV/atom
1.0
5.151 0.000 0.000
0.000 5.151 0.000
0.000 0.000 5.247
Ca Pr Y
1 1 2
direct
0.000 0.000 0.000 Ca
0.500 0.500 0.000 Pr
0.000 0.500 0.500 Y
0.500 0.000 0.500 Y

6.
Below is Ca2Pr12Y5 after structural relaxation, with properties calculated at the PBE level.

```
Ca2Pr12Y5
1.0
10.342 -3.648 0.000
10.342 3.648 0.000
-4.269 0.000 9.746
Ca Pr Y
2 12 5
direct
0.239 0.761 0.000 Ca
0.761 0.239 0.000 Ca
0.035 0.035 0.391 Pr
0.073 0.559 0.396 Pr
0.086 0.531 0.936 Pr
0.366 0.366 0.693 Pr
0.441 0.927 0.604 Pr
0.469 0.914 0.064 Pr
0.531 0.086 0.936 Pr
0.559 0.073 0.396 Pr
0.634 0.634 0.307 Pr
0.914 0.469 0.064 Pr
0.927 0.441 0.604 Pr
0.965 0.965 0.609 Pr
0.130 0.130 0.802 Y
0.161 0.161 0.296 Y
0.500 0.500 0.500 Y
0.839 0.839 0.704 Y
0.870 0.870 0.198 Y
```

So what do the calculations give for DFT formation energy? Going down the list: 175.8; 29.0; 65.6; 30.9; 107.4; 346.7 meV/atom.
So what do the calculations give for final energy? Going down the list: -4.8566; -4.3861; -5.6301; -4.4752; -4.8199; -4.5837 eV/atom.